First-principles (PBE-GGA) data for crystalline CsMgS at its relaxed geometry, as listed in Alexandria.

Summary:
The formation energy without anion corrections comes out at -2.48 eV/f.u. The calculation puts the density of states at the Fermi level at 0.6 states/eV/f.u.

abc: 16.6795 3.8720 5.8286
angles: 90.00 101.12 90.00
Last column: nearest neighbours and their distance in Å.
Space group C2/m (No. 12)
Inequivalent atoms, fractional coordinates:
Cs 0.0699 0.0000 0.2838 (multiplicity 4)  2 S 3.45, 1 Mg 3.49, 2 Cs 3.66-3.75
Mg 0.2322 0.0000 0.7624 (multiplicity 4)  3 S 2.60-2.61
S 0.1453 0.5000 0.8846 (multiplicity 4)  3 Mg 2.60-2.61

---

First-principles (PBE-GGA) data for crystalline Cs3MgS at its relaxed geometry, as listed in Alexandria.

Summary:
The formation energy without anion corrections comes out at -1.74 eV/f.u. The energy above the most stable polymorph in this dataset is 0.000 eV/atom. The calculation puts the density of states at the Fermi level at 5.3 states/eV/f.u.

abc: 6.8195 6.8195 6.8195
angles: 90.00 90.00 90.00
Last column: nearest neighbours and their distance in Å.
Space group Pm-3m (No. 221)
Inequivalent atoms, fractional coordinates:
Cs 0.0000 0.0000 0.5000 (multiplicity 3)  2 S 3.41
Mg 0.5000 0.5000 0.5000 (multiplicity 1)  12 Cs 4.82
S 0.0000 0.0000 0.0000 (multiplicity 1)  6 Cs 3.41

---

First-principles (PBE-GGA) data for crystalline CsMgS14 at its relaxed geometry, as listed in Alexandria.

Summary:
The formation energy without anion corrections comes out at -1.39 eV/f.u. The calculation puts the density of states at the Fermi level at 5.8 states/eV/f.u.

abc: 11.1920 12.5920 13.4100
angles: 90.00 90.00 90.00
Last column: nearest neighbours and their distance in Å.
Space group Imma (No. 74)
Inequivalent atoms, fractional coordinates:
Cs 0.0000 0.2500 0.1569 (multiplicity 4)  14 S 3.78-4.10
Mg 0.0000 0.0000 0.5000 (multiplicity 4)  4 S 2.58
S 0.0853 0.2500 0.6696 (multiplicity 8)  1 S 1.91
S 0.0850 0.2500 0.8611 (multiplicity 8)  1 S 1.90
S 0.1565 0.0686 0.3748 (multiplicity 16)  1 S 2.06
S 0.1658 0.2500 0.4028 (multiplicity 8)  2 S 2.32
S 0.1911 0.0078 0.9229 (multiplicity 16)  2 S 2.06-2.08

---

- Which of these has the lowest formation energy without anion corrections?
  CsMgS

---

- Which value of formation energy without anion corrections does entry 3 give?
  -1.39 eV/f.u.

---

- Look up the formation energy without anion corrections of the first one.
  -2.48 eV/f.u.

---

- The highest formation energy without anion corrections belongs to which entry?
  CsMgS14